Density functional theory data (PBE) for a relaxed TbAsPO crystal.

Geometry as POSCAR:
```
TbAsPO
1.0
5.6712 0.0000 0.0000
0.0000 5.6712 0.0000
0.0000 0.0000 4.6438
Tb As P O
2 2 2 2
direct
0.2500 0.7500 0.0000
0.7500 0.2500 0.0000
0.2500 0.2500 0.4993
0.7500 0.7500 0.5007
0.2500 0.2500 0.0000
0.7500 0.7500 0.0000
0.2500 0.7500 0.5000
0.7500 0.2500 0.5000
```

## Properties
- size of the total moment (μB/cell) = 0.01
- energy above the lowest structure with this stoichiometry (meV per atom) = 388